(1)
An optimized crystal structure of KLi2Ta. Source: Alexandria via LeMat-Bulk, functional PBE.

Structure (extended XYZ):
```
4
Lattice="1.6724 -2.3690 0.0000 1.6724 2.3690 0.0000 0.0000 0.0000 11.7431" Properties=species:S:1:pos:R:3 pbc="T T T"
K 0.0000 0.0000 0.0000
Li 1.6724 0.0000 3.4121
Li 1.6724 0.0000 8.3310
Ta 0.0000 0.0000 5.8715
```

## Properties
formation energy from the elements: 2.61 eV/f.u.
E: -3.542 eV/atom
space-group type: Cmmm, No. 65
spin magnetization: 0.08 μB/f.u.


(2)
An optimized crystal structure of Ho2ErSb. Source: Alexandria via LeMat-Bulk, functional PBE.

Structure (extended XYZ):
```
4
Lattice="4.7515 0.0000 0.0000 0.0000 4.7515 0.0000 0.0000 0.0000 4.7533" Properties=species:S:1:pos:R:3 pbc="T T T"
Ho 0.0000 2.3758 0.0000
Ho 2.3758 0.0000 0.0000
Er 0.0000 0.0000 2.3767
Sb 2.3758 2.3758 2.3767
```

## Properties
formation energy without anion corrections: -0.458 eV per atom
E: -4.919 eV/atom
space-group type: P4/mmm, No. 123
spin magnetization: 0.00 μB/f.u.


(3)
An optimized crystal structure of K2ThHgSe4. Source: Alexandria via LeMat-Bulk, functional PBE.

Structure (extended XYZ):
```
8
Lattice="7.6404 0.0000 0.0000 0.0000 4.2737 0.0000 -2.9239 0.0000 7.6702" Properties=species:S:1:pos:R:3 pbc="T T T"
K 0.0000 0.0000 0.0000
K 3.8202 2.1369 0.0000
Th -1.4620 2.1369 3.8351
Hg 2.3582 0.0000 3.8351
Se -0.4940 0.0000 5.5625
Se 1.1380 2.1369 2.3799
Se 3.5785 2.1369 5.2903
Se 5.2104 0.0000 2.1077
```

## Properties
formation energy without anion corrections: -1.187 eV per atom
E: -4.168 eV/atom
space-group type: P2/m, No. 10
spin magnetization: 0.00 μB/f.u.


Q: The highest spin magnetization belongs to which entry?
A: KLi2Ta